(a)
A plane-wave DFT calculation with PBE was carried out for a geometry-optimized Pr2MgH structure.

Values from the calculation:
density of states at the Fermi level	3.937	states/eV/f.u.

Cell and atoms, written as POSCAR:
```
Pr2MgH
1.0
3.3855 0.0000 0.0000
0.0000 3.3855 0.0000
0.0000 0.0000 8.2663
Pr Mg H
2 1 1
Direct
0.0000 0.0000 0.2010 Pr
0.0000 0.0000 0.7990 Pr
0.5000 0.5000 0.5000 Mg
0.5000 0.5000 0.0000 H
```

(b)
A plane-wave DFT calculation with PBE was carried out for a geometry-optimized Pr2MgH structure.

Values from the calculation:
density of states at the Fermi level	3.321	states/eV/f.u.

Cell and atoms, written as POSCAR:
```
Pr2MgH
1.0
1.8440 1.0647 8.5269
-1.8440 1.0647 8.5269
0.0000 -2.1293 8.5269
Pr Mg H
2 1 1
Direct
0.2242 0.2242 0.2242 Pr
0.7758 0.7758 0.7758 Pr
0.0000 0.0000 0.0000 Mg
0.5000 0.5000 0.5000 H
```

Which is most stable, and by how much? (b), by 18.6 kJ/mol of atoms.